(1)
Here is crystalline LiGaPb2Cl6 at its relaxed geometry from Alexandria via LeMat-Bulk. Energies are from PBE.

As for the calculated total energy: -0.129 hartree per atom. The formation energy without anion corrections comes out at -1.17 eV/atom.

The space group is R3 (No. 146, hexagonal axes) and the conventional cell measures 7.2149, 7.2149 and 19.5267 Å, with angles of 90.00, 90.00 and 120.00 degrees. Symmetry generates all atoms from Li at (0.0000, 0.0000, 0.0000), Ga at (0.0000, 0.0000, 0.5087), Pb at (0.0000, 0.0000, 0.3106), Pb at (0.0000, 0.0000, 0.8024), Cl at (0.9997, 0.7139, 0.9080) and Cl at (0.0068, 0.3666, 0.7327).



(2)
Here is crystalline AcCu2Sn at its relaxed geometry from Alexandria via LeMat-Bulk. Energies are from PBE.

As for the calculated total energy: -0.151 hartree per atom.

The space group is P4/mmm (No. 123) and the conventional cell measures 4.8635, 4.8635 and 3.9263 Å, with angles of 90.00, 90.00 and 90.00 degrees. Symmetry generates all atoms from Ac at (0.0000, 0.0000, 0.0000), Cu at (0.0000, 0.5000, 0.5000) and Sn at (0.5000, 0.5000, 0.0000).



(3)
Here is crystalline CrMo2Rh at its relaxed geometry from Alexandria via LeMat-Bulk. Energies are from PBE.

As for the calculated total energy: -0.352 hartree per atom.

The space group is Cmmm (No. 65) and the conventional cell measures 3.1620, 4.3385 and 8.4544 Å, with angles of 90.00, 90.00 and 90.00 degrees. Symmetry generates all atoms from Cr at (0.0000, 0.0000, 0.0000), Mo at (0.0000, 0.5000, 0.2422) and Rh at (0.0000, 0.0000, 0.5000).



(4)
Here is crystalline BaHfN2F at its relaxed geometry from Alexandria via LeMat-Bulk. Energies are from PBE.

As for the calculated total energy: -0.175 hartree per atom. The formation energy without anion corrections comes out at 1.33 eV/atom.

The space group is P4/mmm (No. 123) and the conventional cell measures 4.5988, 4.5988 and 4.3451 Å, with angles of 90.00, 90.00 and 90.00 degrees. Symmetry generates all atoms from Ba at (0.0000, 0.0000, 0.0000), Hf at (0.5000, 0.5000, 0.0000), N at (0.0000, 0.5000, 0.5000) and F at (0.0000, 0.0000, 0.5000).



(5)
Here is crystalline AlSn2HgRu at its relaxed geometry from Alexandria via LeMat-Bulk. Energies are from PBE.

As for the calculated total energy: -0.108 hartree per atom.

The space group is P4/mmm (No. 123) and the conventional cell measures 5.5245, 5.5245 and 4.7930 Å, with angles of 90.00, 90.00 and 90.00 degrees. Symmetry generates all atoms from Al at (0.0000, 0.0000, 0.0000), Sn at (0.0000, 0.5000, 0.5000), Hg at (0.0000, 0.0000, 0.5000) and Ru at (0.5000, 0.5000, 0.0000).



(6)
Here is crystalline BaPr2Tl at its relaxed geometry from Alexandria via LeMat-Bulk. Energies are from PBE.

As for the calculated total energy: -0.130 hartree per atom.

The space group is P4/mmm (No. 123) and the conventional cell measures 3.8438, 3.8438 and 10.3477 Å, with angles of 90.00, 90.00 and 90.00 degrees. Symmetry generates all atoms from Ba at (0.0000, 0.0000, 0.0000), Pr at (0.5000, 0.5000, 0.3030) and Tl at (0.0000, 0.0000, 0.5000).



(7)
Here is crystalline CeSi2Ni2 at its relaxed geometry from Alexandria via LeMat-Bulk. Energies are from PBE.

As for the calculated total energy: -0.238 hartree per atom. The formation energy without anion corrections comes out at -0.81 eV/atom.

The space group is I4/mmm (No. 139) and the conventional cell measures 4.0390, 4.0390 and 9.5040 Å, with angles of 90.00, 90.00 and 90.00 degrees. Symmetry generates all atoms from Ce at (0.0000, 0.0000, 0.0000), Si at (0.0000, 0.0000, 0.3723) and Ni at (0.0000, 0.5000, 0.2500).



(8)
Here is crystalline SrPmAu4 at its relaxed geometry from Alexandria via LeMat-Bulk. Energies are from PBE.

As for the calculated total energy: -0.147 hartree per atom.

The space group is Cmmm (No. 65) and the conventional cell measures 4.5553, 8.7064 and 7.5781 Å, with angles of 90.00, 90.00 and 90.00 degrees. Symmetry generates all atoms from Sr at (0.0000, 0.0000, 0.0000), Pm at (0.0000, 0.0000, 0.5000) and Au at (0.0000, 0.3407, 0.2766).



(9)
Here is crystalline Er5CuAu4 at its relaxed geometry from Alexandria via LeMat-Bulk. Energies are from PBE.

As for the calculated total energy: -0.175 hartree per atom.

The space group is P4/mmm (No. 123) and the conventional cell measures 3.5257, 3.5257 and 17.9338 Å, with angles of 90.00, 90.00 and 90.00 degrees. Symmetry generates all atoms from Er at (0.0000, 0.0000, 0.0000), Er at (0.0000, 0.0000, 0.2029), Er at (0.0000, 0.0000, 0.4049), Cu at (0.5000, 0.5000, 0.5000), Au at (0.5000, 0.5000, 0.1018) and Au at (0.5000, 0.5000, 0.3049).



(10)
Here is crystalline Mn2ZnOs at its relaxed geometry from Alexandria via LeMat-Bulk. Energies are from PBE.

As for the calculated total energy: -0.277 hartree per atom.

The space group is I-4m2 (No. 119) and the conventional cell measures 3.8879, 3.8879 and 6.9115 Å, with angles of 90.00, 90.00 and 90.00 degrees. Symmetry generates all atoms from Mn at (0.0000, 0.0000, 0.0000), Mn at (0.0000, 0.5000, 0.2500), Zn at (0.0000, 0.0000, 0.5000) and Os at (0.0000, 0.5000, 0.7500).



(11)
Here is crystalline AlTl2CdF6 at its relaxed geometry from Alexandria via LeMat-Bulk. Energies are from PBE.

As for the calculated total energy: -0.163 hartree per atom. The formation energy without anion corrections comes out at -2.38 eV/atom.

The space group is Pmmn (No. 59, origin choice 2) and the conventional cell measures 6.1906, 8.7655 and 6.2108 Å, with angles of 90.00, 90.00 and 90.00 degrees. Symmetry generates all atoms from Al at (0.2500, 0.2500, 0.2447), Tl at (0.2500, 0.9997, 0.7488), Cd at (0.2500, 0.7500, 0.2534), F at (0.0390, 0.2500, 0.0347), F at (0.0396, 0.2500, 0.4545) and F at (0.2500, 0.0397, 0.2433).



(12)
Here is crystalline CaAc2F at its relaxed geometry from Alexandria via LeMat-Bulk. Energies are from PBE.

As for the calculated total energy: -0.147 hartree per atom. The formation energy without anion corrections comes out at -0.97 eV/atom.

The space group is R-3m (No. 166, hexagonal axes) and the conventional cell measures 4.0029, 4.0029 and 31.4643 Å, with angles of 90.00, 90.00 and 120.00 degrees. Symmetry generates all atoms from Ca at (0.0000, 0.0000, 0.0000), Ac at (0.0000, 0.0000, 0.1167) and F at (0.0000, 0.0000, 0.5000).



What is the calculated total energy in the second record? -0.151 hartree per atom